[1]
Here is a relaxed K2CuAs crystal from Alexandria via LeMat-Bulk. Energies are from PBE.

Output
* E: -12.09 eV/f.u.

abc: 6.018 6.018 6.018
angles: 137.36 122.38 74.27
Fractional coordinates of all 4 atoms:
1 K 0.000 0.000 0.000
2 K 0.680 0.180 0.500
3 Cu 0.368 0.368 0.000
4 As 0.297 0.797 0.500

[2]
Here is a relaxed KCuAs2 crystal from Alexandria via LeMat-Bulk. Energies are from PBE.

Output
* E: -14.74 eV/f.u.

abc: 3.630 3.988 6.711
angles: 90.00 90.00 90.00
Fractional coordinates of all 4 atoms:
1 K 0.000 0.000 0.000
2 Cu 0.500 0.000 0.518
3 As 0.000 0.500 0.582
4 As 0.500 0.500 0.306